# 1
Here is a geometry-optimized CrBi2PdC structure from Alexandria via LeMat-Bulk. Energies are from GGA-PBE.

abc: 5.5762 3.7258 5.5762
angles: 90.00 90.00 90.00
Last column: magnetic moment on the atom in μB.
Fractional positions:
Cr: 0.5000 0.5000 0.5000  -0.41
C: 0.0000 0.5000 0.0000  0.03
Bi: 0.0000 0.0000 0.5000  0.04
Bi: 0.5000 0.0000 0.0000  0.07
Pd: 0.0000 0.0000 0.0000  0.00

Calculated values
**Space group**: P4/mmm
**Formation energy**: 1.37 eV/atom



# 2
Here is a geometry-optimized PaInIr structure from Alexandria via LeMat-Bulk. Energies are from GGA-PBE.

abc: 3.7843 7.7017 13.5011
angles: 90.00 90.00 90.00
Fractional positions:
Pa: 0.0000 0.2159 0.9514
Pa: 0.0000 0.7841 0.0486
Pa: 0.0000 0.2159 0.5486
Pa: 0.0000 0.7841 0.4514
Pa: 0.0000 0.1666 0.2500
Pa: 0.0000 0.8334 0.7500
In: 0.5000 0.4436 0.1130
In: 0.5000 0.5564 0.8870
In: 0.5000 0.4436 0.3870
In: 0.5000 0.5564 0.6130
In: 0.5000 0.8155 0.2500
In: 0.5000 0.1845 0.7500
Ir: 0.5000 0.0749 0.0980
Ir: 0.5000 0.9251 0.9020
Ir: 0.5000 0.0749 0.4020
Ir: 0.5000 0.9251 0.5980
Ir: 0.0000 0.5541 0.2500
Ir: 0.0000 0.4459 0.7500

Calculated values
**Space group**: Pmma
**Formation energy**: -0.56 eV/atom



# 3
Here is a geometry-optimized Pa2FeB3 structure from Alexandria via LeMat-Bulk. Energies are from GGA-PBE.

abc: 5.1416 5.1416 7.1273
angles: 112.53 112.53 86.42
Fractional positions:
Pa: 0.2500 0.7500 0.5000
Pa: 0.7317 0.7317 0.0000
Pa: 0.7500 0.2500 0.5000
Pa: 0.2683 0.2683 0.0000
Fe: 0.6696 0.6696 0.3391
Fe: 0.3304 0.3304 0.6609
B: 0.2990 0.8524 0.1515
B: 0.1476 0.7010 0.8485
B: 0.7010 0.1476 0.8485
B: 0.8524 0.2990 0.1515
B: 0.1479 0.1479 0.2958
B: 0.8521 0.8521 0.7042

Calculated values
**Space group**: Fmmm
**Formation energy**: -0.48 eV/atom



# 4
Here is a geometry-optimized Ac6SbP2S3 structure from Alexandria via LeMat-Bulk. Energies are from GGA-PBE.

abc: 4.4522 8.8768 9.9161
angles: 102.30 102.97 90.00
Fractional positions:
Ac: 0.3276 0.9058 0.6552
Ac: 0.6688 0.5793 0.3376
Ac: 0.6724 0.0942 0.3448
Ac: 0.0028 0.2664 0.0056
Ac: 0.9972 0.7336 0.9944
Ac: 0.3312 0.4207 0.6624
Sb: 0.5000 0.0000 0.0000
P: 0.8321 0.6648 0.6642
P: 0.1679 0.3352 0.3358
S: 0.5000 0.5000 0.0000
S: 0.8350 0.1672 0.6701
S: 0.1650 0.8328 0.3299

Calculated values
**Space group**: C2/m
**Energy relative to the elements, uncorrected**: -20.5 eV per formula unit